(1)
YSi2Pb PBE-GGA relaxed; raw formation energy = 0.004 eV/atom; symmetry = No. 35
1.0
2.542 -2.618 0.000
2.542 2.618 0.000
0.000 0.000 6.589
Y Si Pb
1 2 1
Cartesian
0.000 0.000 0.000
0.000 0.000 2.767
2.542 0.000 1.677
2.542 0.000 4.464

---

(2)
Y6Si2Pb PBE-GGA relaxed; raw formation energy = -0.573 eV/atom; symmetry = No. 71
1.0
-4.761 4.864 5.193
4.761 -4.864 5.193
4.761 4.864 -5.193
Y Si Pb
12 4 2
Cartesian
4.761 2.846 -2.706
2.665 1.804 0.000
6.857 1.804 0.000
1.919 4.864 -1.866
2.842 0.000 3.327
0.000 2.018 2.488
4.761 2.846 2.706
1.919 4.864 1.866
2.842 0.000 7.060
-2.096 3.060 5.193
2.096 3.060 5.193
0.000 2.018 7.899
4.761 0.000 1.196
0.000 3.614 0.000
0.000 6.113 0.000
0.000 4.864 3.998
0.000 0.000 0.000
0.000 0.000 5.193

---

(3)
YZrSiPb2 PBE-GGA relaxed; raw formation energy = 0.838 eV/atom; symmetry = No. 123
1.0
5.587 0.000 0.000
0.000 5.587 0.000
0.000 0.000 5.510
Y Zr Si Pb
1 1 1 2
Cartesian
0.000 0.000 0.000
0.000 0.000 2.755
2.793 2.793 0.000
0.000 2.793 2.755
2.793 0.000 2.755

---

(4)
Y2ZrSiPb PBE-GGA relaxed; raw formation energy = 0.759 eV/atom; symmetry = No. 123
1.0
5.644 0.000 0.000
0.000 5.644 0.000
0.000 0.000 5.391
Y Zr Si Pb
2 1 1 1
Cartesian
0.000 2.822 0.000
2.822 0.000 0.000
0.000 0.000 2.696
2.822 2.822 2.696
0.000 0.000 0.000

---

no.,mass density (g cm⁻³)
1,6.67
2,5.50
3,6.01
4,4.88